Record 1
La6NdTh (PBE, relaxed); calculated formation energy = 0.14 eV per atom; relative energy among the computed polymorphs = 119 meV/atom
1.0
6.445 -0.387 2.426
0.017 6.706 0.007
1.078 -0.192 6.909
La Nd Th
6 1 1
Direct
0.904 0.247 0.547
0.541 0.725 0.000
0.549 0.753 0.547
0.451 0.247 0.453
0.096 0.753 0.453
0.459 0.275 0.000
0.000 0.000 0.000
0.000 0.500 0.000

Record 2
BeNi2Os (PBE, relaxed); calculated formation energy = -0.09 eV per atom
1.0
-2.333 -0.805 0.835
1.144 -1.287 1.955
-0.471 5.204 3.701
Be Ni Os
1 2 1
Direct
0.500 0.500 0.750
0.000 0.000 0.959
0.000 0.000 0.541
0.500 0.500 0.250

Record 3
Cd2PbBr6 (PBE, relaxed); relative energy among the computed polymorphs = 28 meV/atom
1.0
-3.766 2.205 -0.091
-1.329 -6.451 3.389
2.221 4.209 10.127
Br Cd Pb
6 2 1
Direct
0.909 0.818 0.750
0.158 0.316 0.890
0.842 0.684 0.110
0.091 0.182 0.250
0.642 0.284 0.565
0.358 0.716 0.435
0.274 0.548 0.220
0.726 0.452 0.780
0.000 0.000 0.500

Record 4
LaHf3Cr (PBE, relaxed); calculated formation energy = 0.40 eV per atom; relative energy among the computed polymorphs = 0 meV/atom
1.0
4.975 0.000 0.000
0.000 4.975 0.000
0.000 0.000 4.975
La Hf Cr
1 3 1
Direct
0.500 0.500 0.500
0.500 0.000 0.000
0.000 0.000 0.500
0.000 0.500 0.000
0.000 0.000 0.000

Record 5
Co3Ni3Mo (PBE, relaxed); calculated formation energy = 0.25 eV per atom
1.0
6.967 0.000 0.000
0.000 6.967 0.000
0.000 0.000 6.967
Ni Co Mo
12 12 4
Direct
0.915 0.915 0.915
0.220 0.780 0.280
0.103 0.103 0.103
0.397 0.897 0.603
0.585 0.085 0.415
0.415 0.585 0.085
0.897 0.603 0.397
0.603 0.397 0.897
0.085 0.415 0.585
0.780 0.280 0.220
0.280 0.220 0.780
0.720 0.720 0.720
0.893 0.921 0.297
0.203 0.107 0.421
0.607 0.079 0.797
0.393 0.579 0.703
0.107 0.421 0.203
0.921 0.297 0.893
0.797 0.607 0.079
0.703 0.393 0.579
0.297 0.893 0.921
0.079 0.797 0.607
0.579 0.703 0.393
0.421 0.203 0.107
0.598 0.902 0.098
0.402 0.402 0.402
0.098 0.598 0.902
0.902 0.098 0.598

Record 6
Ac4PmY (PBE, relaxed); calculated formation energy = 0.53 eV per atom; relative energy among the computed polymorphs = 385 meV/atom
1.0
-3.634 -0.795 0.843
2.632 -4.958 6.669
-0.296 6.937 5.269
Ac Y Pm
4 1 1
Direct
0.000 0.763 0.763
0.500 0.735 0.265
0.000 0.237 0.237
0.500 0.265 0.735
0.000 0.500 0.500
0.500 0.000 0.000

Record 7
Dy2I3 (PBE, relaxed); relative energy among the computed polymorphs = 0 meV/atom
1.0
-4.003 -0.350 -0.678
3.235 -9.705 -1.835
-2.018 1.613 11.084
I Dy
6 4
Direct
0.809 0.618 0.865
0.191 0.382 0.135
0.363 0.726 0.548
0.637 0.274 0.452
0.924 0.848 0.241
0.076 0.152 0.759
0.073 0.147 0.241
0.574 0.148 0.970
0.426 0.852 0.030
0.927 0.853 0.759

Record 8
NaCuI4 (PBE, relaxed); uncorrected energy = -2.32 eV/atom
1.0
5.650 0.000 0.000
-2.825 9.899 1.181
0.000 -2.013 9.012
I Cu Na
8 2 2
Direct
0.022 0.044 0.356
0.796 0.592 0.370
0.392 0.783 0.178
0.893 0.786 0.926
0.608 0.217 0.822
0.107 0.214 0.074
0.978 0.956 0.644
0.204 0.408 0.630
0.898 0.796 0.212
0.102 0.204 0.788
0.243 0.486 0.276
0.757 0.514 0.724

Record 9
Ti2ZnRh (PBE, relaxed); calculated formation energy = -0.42 eV per atom
1.0
-2.748 0.837 -1.307
-1.006 -3.494 3.695
1.310 6.274 5.070
Ti Rh Zn
4 2 2
Direct
0.148 0.470 0.180
0.513 0.090 0.291
0.022 0.593 0.806
0.639 0.967 0.665
0.753 0.810 0.049
0.908 0.749 0.422
0.385 0.190 0.934
0.276 0.370 0.537

Record 10
LaGa10Cu2 (PBE, relaxed); calculated formation energy = -0.19 eV per atom
1.0
4.831 0.000 1.970
2.415 7.551 0.985
0.144 0.000 6.556
Ga Cu La
10 2 1
Direct
0.736 0.751 0.777
0.500 0.000 0.500
0.487 0.249 0.777
0.513 0.751 0.223
0.000 0.000 0.500
0.264 0.249 0.223
0.647 0.368 0.339
0.353 0.632 0.661
0.014 0.632 0.339
0.986 0.368 0.661
0.000 0.500 0.000
0.500 0.500 0.000
0.000 0.000 0.000

Record 11
TaTl2Zn (PBE, relaxed); calculated formation energy = 0.63 eV per atom; relative energy among the computed polymorphs = 276 meV/atom
1.0
3.764 0.000 0.000
0.000 3.764 0.000
0.000 0.000 5.978
Tl Ta Zn
2 1 1
Direct
0.000 0.000 0.999
0.000 0.000 0.501
0.500 0.500 0.750
0.500 0.500 0.250

Record 12
TlCd6In4 (PBE, relaxed); calculated formation energy = 0.10 eV per atom; relative energy among the computed polymorphs = 42 meV/atom
1.0
7.851 -0.687 -1.011
-4.239 6.644 1.011
-4.239 -1.503 6.550
In Cd Tl
4 6 1
Direct
0.000 0.593 0.067
0.474 0.407 0.407
0.526 0.933 0.933
0.000 0.067 0.593
0.000 0.447 0.763
0.500 0.000 0.500
0.684 0.237 0.237
0.500 0.500 0.000
0.316 0.553 0.553
0.000 0.763 0.447
0.000 0.000 0.000

Record 13
CaVFe2Tc (PBE, relaxed); calculated formation energy = 2.16 eV per atom
1.0
4.411 0.000 0.000
0.000 4.677 0.000
0.000 0.000 4.411
Tc Fe V Ca
1 2 1 1
Direct
0.000 0.500 0.000
0.500 0.000 0.000
0.000 0.000 0.500
0.500 0.500 0.500
0.000 0.000 0.000

Record 14
TbLuBi (PBE, relaxed); calculated formation energy = -0.24 eV per atom
1.0
-3.715 -0.519 0.603
0.782 -5.164 0.372
0.275 3.005 4.279
Bi Lu Tb
1 1 1
Direct
0.303 0.667 0.333
0.081 0.000 0.000
0.615 0.333 0.667

Record 15
Ti3InSe (PBE, relaxed); relative energy among the computed polymorphs = 178 meV/atom
1.0
4.693 0.000 0.000
0.000 4.693 0.000
0.000 0.000 4.693
Ti In Se
3 1 1
Direct
0.000 0.000 0.500
0.500 0.000 0.000
0.000 0.500 0.000
0.500 0.500 0.500
0.000 0.000 0.000

Record 16
K2ScSCl (PBE, relaxed); uncorrected energy = -3.41 eV/atom
1.0
5.700 0.000 0.000
0.000 4.987 0.000
0.000 0.000 5.700
K Sc Cl S
2 1 1 1
Direct
0.000 0.000 0.500
0.500 0.000 0.000
0.000 0.500 0.000
0.000 0.000 0.000
0.500 0.500 0.500

Record 17
ScTiNi2Hg (PBE, relaxed); calculated formation energy = 0.67 eV per atom
1.0
-0.746 -4.135 1.406
4.781 -0.453 1.206
-0.879 1.539 4.061
Ni Sc Hg Ti
2 1 1 1
Direct
0.000 0.000 0.500
0.500 0.000 0.000
0.000 0.500 0.000
0.500 0.500 0.500
0.000 0.000 0.000

Record 18
TaW2N (PBE, relaxed); uncorrected energy = -11.78 eV/atom
1.0
5.674 0.000 0.012
0.000 5.177 0.000
-4.724 0.000 7.582
W Ta N
8 4 4
Direct
0.504 0.130 0.167
0.000 0.801 0.000
0.496 0.630 0.333
0.000 0.301 0.500
0.500 0.642 0.000
0.500 0.142 0.500
0.504 0.630 0.667
0.496 0.130 0.833
0.998 0.311 0.837
0.002 0.311 0.163
0.002 0.811 0.663
0.998 0.811 0.337
0.741 0.469 0.248
0.259 0.469 0.752
0.741 0.969 0.748
0.259 0.969 0.252

Record 19
K3Dy2PuO6 (PBE, relaxed); uncorrected energy = -7.33 eV/atom
1.0
6.100 -0.001 0.000
-3.049 5.283 0.000
-1.017 -1.762 6.263
O Pu K Dy
6 1 3 2
Direct
0.401 0.062 0.186
0.938 0.599 0.814
0.599 0.938 0.814
0.277 0.277 0.813
0.062 0.401 0.186
0.723 0.723 0.187
0.000 0.000 0.000
0.168 0.832 0.500
0.832 0.168 0.500
0.500 0.500 0.500
0.333 0.667 0.000
0.667 0.333 0.000

Record 20
Pu2Pa8Co (PBE, relaxed); calculated formation energy = 0.17 eV per atom
1.0
5.621 -0.534 -0.373
0.054 7.113 -0.065
0.054 2.387 6.701
Pa Pu Co
8 2 1
Direct
0.617 0.871 0.871
0.848 0.838 0.417
0.670 0.392 0.392
0.152 0.583 0.162
0.330 0.608 0.608
0.152 0.162 0.583
0.848 0.417 0.838
0.383 0.129 0.129
0.187 0.804 0.804
0.813 0.196 0.196
0.000 0.000 0.000